Record 1
A geometry-optimized Na3YCl6 structure, computed with PBE.

Output
The value obtained for the density of states at the Fermi level is 0.000 states/eV/cell. The spin magnetization comes out at 0.00 μB per formula unit. The volume comes out at 27.628 A^3/atom. The energy above the most stable polymorph in this dataset comes out at 0.0000 eV/atom. The calculation puts the calculated total energy at -4.1486 eV per atom. The formation energy without anion corrections is -2.00 eV/atom.

Lattice parameters (Å, degrees): 7.5213 7.5213 7.5213 56.47 56.47 56.47
With the nearest neighbours (Å) after each atom.
Fractional coordinates of all 10 atoms:
Cl1 0.2198 0.8942 0.6284  1 Y 2.66, 2 Na 2.78-2.86
Cl2 0.7802 0.1058 0.3716  1 Y 2.66, 2 Na 2.78-2.86
Cl3 0.8942 0.6284 0.2198  1 Y 2.66, 2 Na 2.78-2.86
Cl4 0.6284 0.2198 0.8942  1 Y 2.66, 2 Na 2.78-2.86
Cl5 0.3716 0.7802 0.1058  1 Y 2.66, 2 Na 2.78-2.86
Cl6 0.1058 0.3716 0.7802  1 Y 2.66, 2 Na 2.78-2.86
Na1 0.8018 0.8018 0.8018  6 Cl 2.78-2.99
Na2 0.5000 0.5000 0.5000  6 Cl 2.86
Na3 0.1982 0.1982 0.1982  6 Cl 2.78-2.99
Y1 0.0000 0.0000 0.0000  6 Cl 2.66

---

Record 2
A geometry-optimized Na3YbCl6 structure, computed with PBE.

Output
The value obtained for the density of states at the Fermi level is 32.421 states/eV/cell. The spin magnetization comes out at 1.13 μB per formula unit. The volume comes out at 25.748 A^3/atom. The calculation puts the calculated total energy at -3.4648 eV per atom. The formation energy without anion corrections is -1.81 eV/atom.

Lattice parameters (Å, degrees): 7.3266 6.9035 12.2025 56.55 90.00 90.00
With the nearest neighbours (Å) after each atom.
Fractional coordinates of all 20 atoms:
Cl1 0.0717 0.9048 0.2391  1 Yb 2.67, 3 Na 2.84-2.90
Cl2 0.5717 0.0952 0.2609  1 Yb 2.67, 3 Na 2.84-2.90
Cl3 0.9283 0.0952 0.7609  1 Yb 2.67, 3 Na 2.84-2.90
Cl4 0.8186 0.3788 0.9363  1 Yb 2.64, 2 Na 2.73-2.82
Cl5 0.4283 0.9048 0.7391  1 Yb 2.67, 3 Na 2.84-2.90
Cl6 0.8024 0.7422 0.5849  1 Yb 2.67, 2 Na 2.81-2.89
Cl7 0.6814 0.3788 0.4363  1 Yb 2.64, 2 Na 2.73-2.82
Cl8 0.6976 0.7422 0.0849  1 Yb 2.67, 2 Na 2.81-2.89
Cl9 0.3186 0.6212 0.5637  1 Yb 2.64, 2 Na 2.73-2.82
Cl10 0.1976 0.2578 0.4151  1 Yb 2.67, 2 Na 2.81-2.89
Cl11 0.3024 0.2578 0.9151  1 Yb 2.67, 2 Na 2.81-2.89
Cl12 0.1814 0.6212 0.0637  1 Yb 2.64, 2 Na 2.73-2.82
Na1 0.4234 0.7117 0.2636  5 Cl 2.82-3.10
Na2 0.5766 0.2883 0.7364  5 Cl 2.82-3.10
Na3 0.0000 0.5000 0.5000  6 Cl 2.73-2.90
Na4 0.5000 0.5000 0.0000  6 Cl 2.73-2.90
Na5 0.9234 0.2883 0.2364  5 Cl 2.82-3.10
Na6 0.0766 0.7117 0.7636  5 Cl 2.82-3.10
Yb1 0.0000 0.0000 0.0000  6 Cl 2.64-2.67
Yb2 0.5000 0.0000 0.5000  6 Cl 2.64-2.67

---

Record 3
A geometry-optimized NaZn2Cl5 structure, computed with PBE.

Output
The value obtained for the density of states at the Fermi level is 0.000 states/eV/cell. The spin magnetization comes out at 0.00 μB per formula unit. The volume comes out at 29.725 A^3/atom. The calculation puts the calculated total energy at -2.8330 eV per atom. The formation energy without anion corrections is -1.20 eV/atom.

Lattice parameters (Å, degrees): 5.3166 7.4453 12.8630 90.00 90.00 110.92
With the nearest neighbours (Å) after each atom.
Fractional coordinates of all 16 atoms:
Cl1 0.0493 0.0987 0.8843  1 Zn 2.17
Cl2 0.7403 0.4807 0.9237  1 Zn 2.33
Cl3 0.3020 0.6040 0.7500  2 Zn 2.42
Cl4 0.0493 0.0987 0.6157  1 Zn 2.17
Cl5 0.6980 0.3960 0.2500  2 Zn 2.42
Cl6 0.7403 0.4807 0.5763  1 Zn 2.33
Cl7 0.2597 0.5193 0.4237  1 Zn 2.33
Cl8 0.9507 0.9013 0.1157  1 Zn 2.17
Cl9 0.2597 0.5193 0.0763  1 Zn 2.33
Cl10 0.9507 0.9013 0.3843  1 Zn 2.17
Zn1 0.2043 0.4085 0.5944  3 Cl 2.17-2.42
Zn2 0.2043 0.4085 0.9056  3 Cl 2.17-2.42
Zn3 0.7957 0.5915 0.4056  3 Cl 2.17-2.42
Zn4 0.7957 0.5915 0.0944  3 Cl 2.17-2.42
Na1 0.9005 0.8010 0.7500  4 Cl 2.70-2.99
Na2 0.0995 0.1990 0.2500  4 Cl 2.70-2.99

---

Record 4
A geometry-optimized Na6ZnCl8 structure, computed with PBE.

Output
The value obtained for the density of states at the Fermi level is 0.000 states/eV/cell. The spin magnetization comes out at 0.00 μB per formula unit. The volume comes out at 23.981 A^3/atom. The calculation puts the calculated total energy at -3.2608 eV per atom. The formation energy without anion corrections is -1.66 eV/atom.

Lattice parameters (Å, degrees): 7.9828 7.9828 7.9828 60.00 60.00 60.00
With the nearest neighbours (Å) after each atom.
Fractional coordinates of all 15 atoms:
Na1 0.5000 0.0000 0.5000  6 Cl 2.82-2.84
Na2 0.5000 0.5000 0.0000  6 Cl 2.82-2.84
Na3 0.0000 0.5000 0.5000  6 Cl 2.82-2.84
Na4 0.5000 0.0000 0.0000  6 Cl 2.82-2.84
Na5 0.0000 0.0000 0.5000  6 Cl 2.82-2.84
Na6 0.0000 0.5000 0.0000  6 Cl 2.82-2.84
Cl1 0.7770 0.7770 0.2230  1 Zn 2.52
Cl2 0.7500 0.7500 0.7500  6 Na 2.82
Cl3 0.2500 0.2500 0.2500  6 Na 2.82
Cl4 0.7770 0.2230 0.2230  1 Zn 2.52
Cl5 0.2230 0.7770 0.2230  1 Zn 2.52
Cl6 0.2230 0.7770 0.7770  1 Zn 2.52
Cl7 0.2230 0.2230 0.7770  1 Zn 2.52
Cl8 0.7770 0.2230 0.7770  1 Zn 2.52
Zn1 0.0000 0.0000 0.0000  6 Cl 2.52

---

Record 5
A geometry-optimized Na5Zn3Cl12 structure, computed with PBE.

Output
The value obtained for the density of states at the Fermi level is 70.929 states/eV/cell. The spin magnetization comes out at 0.00 μB per formula unit. The volume comes out at 27.831 A^3/atom. The calculation puts the calculated total energy at -2.9247 eV per atom. The formation energy without anion corrections is -1.30 eV/atom.

Lattice parameters (Å, degrees): 14.2478 14.2478 14.2478 109.47 109.47 109.47
With the nearest neighbours (Å) after each atom.
Fractional coordinates of all 80 atoms:
Cl1 0.1194 0.6336 0.9344  1 Zn 2.31
Cl2 0.9344 0.8008 0.3150  1 Zn 2.31
Cl3 0.6336 0.5143 0.6992  1 Zn 2.31
Cl4 0.1194 0.4857 0.6850  1 Zn 2.31
Cl5 0.8150 0.3806 0.5143  1 Zn 2.31
Cl6 0.6850 0.6992 0.0656  1 Zn 2.31
Cl7 0.6194 0.4344 0.1336  1 Zn 2.31
Cl8 0.0656 0.1992 0.6850  1 Zn 2.31
Cl9 0.3664 0.8806 0.5656  1 Zn 2.31
Cl10 0.1336 0.9344 0.6194  1 Zn 2.31
Cl11 0.3806 0.5656 0.8664  1 Zn 2.31
Cl12 0.3008 0.3150 0.4344  1 Zn 2.31
Cl13 0.9857 0.6850 0.6194  1 Zn 2.31
Cl14 0.8664 0.8008 0.9857  1 Zn 2.31
Cl15 0.3664 0.4857 0.3008  1 Zn 2.31
Cl16 0.4344 0.6194 0.6336  1 Zn 2.31
Cl17 0.5656 0.1850 0.6992  1 Zn 2.31
Cl18 0.3806 0.8150 0.0143  1 Zn 2.31
Cl19 0.8008 0.9344 0.8150  1 Zn 2.31
Cl20 0.0143 0.6992 0.1336  1 Zn 2.31
Cl21 0.4857 0.3664 0.8008  1 Zn 2.31
Cl22 0.1850 0.6194 0.4857  1 Zn 2.31
Cl23 0.8008 0.8664 0.4857  1 Zn 2.31
Cl24 0.5143 0.6336 0.1992  1 Zn 2.31
Cl25 0.9857 0.3008 0.8664  1 Zn 2.31
Cl26 0.3008 0.9857 0.3664  1 Zn 2.31
Cl27 0.6992 0.0143 0.6336  1 Zn 2.31
Cl28 0.1992 0.1336 0.5143  1 Zn 2.31
Cl29 0.1992 0.0656 0.1850  1 Zn 2.31
Cl30 0.6992 0.6850 0.5656  1 Zn 2.31
Cl31 0.9344 0.1336 0.1194  1 Zn 2.31
Cl32 0.1850 0.5656 0.1992  1 Zn 2.31
Cl33 0.8150 0.4344 0.8008  1 Zn 2.31
Cl34 0.6194 0.1850 0.9857  1 Zn 2.31
Cl35 0.8806 0.5143 0.3150  1 Zn 2.31
Cl36 0.5656 0.3806 0.3664  1 Zn 2.31
Cl37 0.0143 0.3150 0.3806  1 Zn 2.31
Cl38 0.3150 0.3008 0.9344  1 Zn 2.31
Cl39 0.1336 0.1992 0.0143  1 Zn 2.31
Cl40 0.5143 0.8806 0.8150  1 Zn 2.31
Cl41 0.4344 0.8150 0.3008  1 Zn 2.31
Cl42 0.8664 0.0656 0.3806  1 Zn 2.31
Cl43 0.8806 0.3664 0.0656  1 Zn 2.31
Cl44 0.0656 0.8664 0.8806  1 Zn 2.31
Cl45 0.4857 0.1194 0.1850  1 Zn 2.31
Cl46 0.6850 0.9857 0.1194  1 Zn 2.31
Cl47 0.3150 0.0143 0.8806  1 Zn 2.31
Cl48 0.6336 0.1194 0.4344  1 Zn 2.31
Zn1 0.3750 0.7500 0.6250  4 Cl 2.31
Zn2 0.1250 0.2500 0.8750  4 Cl 2.31
Zn3 0.2500 0.6250 0.8750  4 Cl 2.31
Zn4 0.6250 0.3750 0.7500  4 Cl 2.31
Zn5 0.6250 0.2500 0.3750  4 Cl 2.31
Zn6 0.1250 0.8750 0.7500  4 Cl 2.31
Zn7 0.2500 0.1250 0.3750  4 Cl 2.31
Zn8 0.7500 0.8750 0.6250  4 Cl 2.31
Zn9 0.7500 0.3750 0.1250  4 Cl 2.31
Zn10 0.8750 0.7500 0.1250  4 Cl 2.31
Zn11 0.3750 0.6250 0.2500  4 Cl 2.31
Zn12 0.8750 0.1250 0.2500  4 Cl 2.31
Na1 0.6250 0.7500 0.8750  4 Cl 2.97
Na2 0.0000 0.0000 0.5000  6 Cl 2.73
Na3 0.2500 0.3750 0.6250  4 Cl 2.97
Na4 0.6250 0.8750 0.2500  4 Cl 2.97
Na5 0.3750 0.1250 0.7500  4 Cl 2.97
Na6 0.0000 0.5000 0.0000  6 Cl 2.73
Na7 0.2500 0.8750 0.1250  4 Cl 2.97
Na8 0.3750 0.2500 0.1250  4 Cl 2.97
Na9 0.0000 0.0000 0.0000  6 Cl 2.73
Na10 0.8750 0.6250 0.7500  4 Cl 2.97
Na11 0.8750 0.2500 0.6250  4 Cl 2.97
Na12 0.7500 0.6250 0.3750  4 Cl 2.97
Na13 0.1250 0.3750 0.2500  4 Cl 2.97
Na14 0.5000 0.0000 0.0000  6 Cl 2.73
Na15 0.7500 0.1250 0.8750  4 Cl 2.97
Na16 0.5000 0.0000 0.5000  6 Cl 2.73
Na17 0.5000 0.5000 0.0000  6 Cl 2.73
Na18 0.0000 0.5000 0.5000  6 Cl 2.73
Na19 0.5000 0.5000 0.5000  6 Cl 2.73
Na20 0.1250 0.7500 0.3750  4 Cl 2.97

---

Record 6
A geometry-optimized NaZnCl3 structure, computed with PBE.

Output
The value obtained for the density of states at the Fermi level is 0.000 states/eV/cell. The spin magnetization comes out at 0.00 μB per formula unit. The volume comes out at 27.884 A^3/atom. The energy above the most stable polymorph in this dataset comes out at 0.0000 eV/atom. The calculation puts the calculated total energy at -3.0299 eV per atom. The formation energy without anion corrections is -1.40 eV/atom.

Lattice parameters (Å, degrees): 7.1141 9.3076 9.3076 82.13 72.13 72.13
With the nearest neighbours (Å) after each atom.
Fractional coordinates of all 20 atoms:
Cl1 0.1788 0.6991 0.5939  2 Zn 2.33-2.37
Cl2 0.3212 0.4061 0.3009  2 Zn 2.33-2.37
Cl3 0.1769 0.8009 0.9712  1 Zn 2.26
Cl4 0.6769 0.9712 0.8009  1 Zn 2.26
Cl5 0.8212 0.3009 0.4061  2 Zn 2.33-2.37
Cl6 0.8231 0.1991 0.0288  1 Zn 2.26
Cl7 0.1704 0.1293 0.6188  1 Zn 2.25
Cl8 0.3231 0.0288 0.1991  1 Zn 2.26
Cl9 0.6788 0.5939 0.6991  2 Zn 2.33-2.37
Cl10 0.3296 0.3812 0.8707  1 Zn 2.25
Cl11 0.8296 0.8707 0.3812  1 Zn 2.25
Cl12 0.6704 0.6188 0.1293  1 Zn 2.25
Zn1 0.1790 0.2043 0.3769  4 Cl 2.25-2.37
Zn2 0.8210 0.7957 0.6231  4 Cl 2.25-2.37
Zn3 0.3210 0.6231 0.7957  4 Cl 2.25-2.37
Zn4 0.6790 0.3769 0.2043  4 Cl 2.25-2.37
Na1 0.2500 0.7375 0.2625  6 Cl 2.79-2.96
Na2 0.7500 0.2625 0.7375  6 Cl 2.79-2.96
Na3 0.7500 0.9027 0.0973  6 Cl 2.80-2.91
Na4 0.2500 0.0973 0.9027  6 Cl 2.80-2.91

---

Record 7
A geometry-optimized NaZn3Cl structure, computed with PBE.

Output
The value obtained for the density of states at the Fermi level is 2.216 states/eV/cell. The spin magnetization comes out at 0.00 μB per formula unit. The volume comes out at 34.400 A^3/atom. The calculation puts the calculated total energy at -1.0735 eV per atom. The formation energy without anion corrections is 0.32 eV/atom.

Lattice parameters (Å, degrees): 5.5613 5.5613 5.5613 90.00 90.00 90.00
With the nearest neighbours (Å) after each atom.
Fractional coordinates of all 5 atoms:
Zn1 0.0000 0.5000 0.0000  2 Na 2.78
Zn2 0.5000 0.0000 0.0000  2 Na 2.78
Zn3 0.0000 0.0000 0.5000  2 Na 2.78
Cl1 0.5000 0.5000 0.5000  12 Zn 3.93
Na1 0.0000 0.0000 0.0000  6 Zn 2.78

---

Record 8
A geometry-optimized Na3ZnCl structure, computed with PBE.

Output
The value obtained for the density of states at the Fermi level is 4.315 states/eV/cell. The spin magnetization comes out at 0.00 μB per formula unit. The volume comes out at 30.959 A^3/atom. The energy above the most stable polymorph in this dataset comes out at 0.0000 eV/atom. The calculation puts the calculated total energy at -1.8772 eV per atom. The formation energy without anion corrections is -0.46 eV/atom.

Lattice parameters (Å, degrees): 5.3693 5.3693 5.3693 90.00 90.00 90.00
With the nearest neighbours (Å) after each atom.
Fractional coordinates of all 5 atoms:
Na1 0.0000 0.5000 0.0000  2 Cl 2.68
Na2 0.5000 0.0000 0.0000  2 Cl 2.68
Na3 0.0000 0.0000 0.5000  2 Cl 2.68
Zn1 0.5000 0.5000 0.5000  12 Na 3.80
Cl1 0.0000 0.0000 0.0000  6 Na 2.68

---

Copy entry 1 word for word.
A geometry-optimized Na3YCl6 structure, computed with PBE.

Output
The value obtained for the density of states at the Fermi level is 0.000 states/eV/cell. The spin magnetization comes out at 0.00 μB per formula unit. The volume comes out at 27.628 A^3/atom. The energy above the most stable polymorph in this dataset comes out at 0.0000 eV/atom. The calculation puts the calculated total energy at -4.1486 eV per atom. The formation energy without anion corrections is -2.00 eV/atom.

Lattice parameters (Å, degrees): 7.5213 7.5213 7.5213 56.47 56.47 56.47
With the nearest neighbours (Å) after each atom.
Fractional coordinates of all 10 atoms:
Cl1 0.2198 0.8942 0.6284  1 Y 2.66, 2 Na 2.78-2.86
Cl2 0.7802 0.1058 0.3716  1 Y 2.66, 2 Na 2.78-2.86
Cl3 0.8942 0.6284 0.2198  1 Y 2.66, 2 Na 2.78-2.86
Cl4 0.6284 0.2198 0.8942  1 Y 2.66, 2 Na 2.78-2.86
Cl5 0.3716 0.7802 0.1058  1 Y 2.66, 2 Na 2.78-2.86
Cl6 0.1058 0.3716 0.7802  1 Y 2.66, 2 Na 2.78-2.86
Na1 0.8018 0.8018 0.8018  6 Cl 2.78-2.99
Na2 0.5000 0.5000 0.5000  6 Cl 2.86
Na3 0.1982 0.1982 0.1982  6 Cl 2.78-2.99
Y1 0.0000 0.0000 0.0000  6 Cl 2.66